Entry 1:
The following is a PBE calculation of a relaxed structure of LaHoTlPd, from Alexandria.

POSCAR file:
```
LaHoTlPd
1.0
-2.087 -0.193 4.874
-4.989 -1.671 0.685
-0.935 -4.688 2.302
Tl Ho Pd La
1 1 1 1
direct
0.000 0.000 0.000 Tl
0.250 0.250 0.250 Ho
0.500 0.500 0.500 Pd
0.750 0.750 0.750 La
```

Size of the total moment, μB per formula unit: 0.001
Calculated total energy, eV per atom: -4.770
V, Å³ per cell: 105.6
DFT formation energy, eV per atom: -0.504

Entry 2:
The following is a PBE calculation of a relaxed structure of Tb4Pm2Tm3, from Alexandria.

POSCAR file:
```
Tb4Pm2Tm3
1.0
5.794 1.665 1.192
2.330 10.960 0.698
2.330 4.193 10.150
Tb Pm Tm
8 4 6
direct
0.419 0.907 0.188 Tb
0.081 0.812 0.093 Tb
0.581 0.093 0.812 Tb
0.919 0.188 0.907 Tb
0.083 0.145 0.425 Tb
0.417 0.575 0.855 Tb
0.917 0.855 0.575 Tb
0.583 0.425 0.145 Tb
0.420 0.235 0.524 Pm
0.080 0.476 0.765 Pm
0.580 0.765 0.476 Pm
0.920 0.524 0.235 Pm
0.758 0.067 0.264 Tm
0.742 0.736 0.933 Tm
0.242 0.933 0.736 Tm
0.258 0.264 0.067 Tm
0.250 0.599 0.401 Tm
0.750 0.401 0.599 Tm
```

Size of the total moment, μB per formula unit: 0.000
Calculated total energy, eV per atom: -4.513
V, Å³ per cell: 572.1
DFT formation energy, eV per atom: 0.091

Entry 3:
The following is a PBE calculation of a relaxed structure of Cd2NiOsRh, from Alexandria.

POSCAR file:
```
Cd2NiOsRh
1.0
4.714 0.000 0.000
0.000 4.409 0.000
0.000 0.000 4.714
Ni Rh Os Cd
1 1 1 2
direct
0.000 0.000 0.000 Ni
0.500 0.500 0.500 Rh
0.000 0.500 0.000 Os
0.000 0.000 0.500 Cd
0.500 0.000 0.000 Cd
```

Size of the total moment, μB per formula unit: 0.654
Calculated total energy, eV per atom: -4.089
V, Å³ per cell: 98.0
DFT formation energy, eV per atom: 1.150

Entry 4:
The following is a PBE calculation of a relaxed structure of PmNi4Sn2, from Alexandria.

POSCAR file:
```
PmNi4Sn2
1.0
3.744 0.000 0.000
0.000 3.744 0.000
-1.872 -1.872 8.656
Pm Ni Sn
1 4 2
direct
0.000 0.000 0.000 Pm
0.157 0.157 0.314 Ni
0.843 0.843 0.686 Ni
0.750 0.250 0.500 Ni
0.250 0.750 0.500 Ni
0.633 0.633 0.266 Sn
0.367 0.367 0.734 Sn
```

Size of the total moment, μB per formula unit: 0.294
Calculated total energy, eV per atom: -5.347
V, Å³ per cell: 121.4
DFT formation energy, eV per atom: -0.221

Entry 5:
The following is a PBE calculation of a relaxed structure of La4PrSm6, from Alexandria.

POSCAR file:
```
La4PrSm6
1.0
-3.492 -1.038 0.379
3.310 -9.176 5.382
-2.153 9.328 5.697
La Pr Sm
4 1 6
direct
0.500 0.842 0.683 La
0.500 0.317 0.158 La
0.500 0.842 0.158 La
0.000 0.333 0.667 La
0.000 0.000 0.000 Pr
0.000 0.529 0.058 Sm
0.500 0.628 0.814 Sm
0.000 0.529 0.471 Sm
0.000 0.942 0.471 Sm
0.500 0.186 0.814 Sm
0.500 0.186 0.372 Sm
```

Size of the total moment, μB per formula unit: 0.000
Calculated total energy, eV per atom: -4.637
Energy relative to the lowest polymorph listed for this composition, meV/atom: 0.0
V, Å³ per cell: 393.7
DFT formation energy, eV per atom: 0.163

Entry 6:
The following is a PBE calculation of a relaxed structure of AlGeW, from Alexandria.

POSCAR file:
```
AlGeW
1.0
8.489 0.000 0.000
0.000 4.866 0.000
0.000 0.000 8.895
Ge Al W
8 8 8
direct
0.589 0.250 0.250 Ge
0.589 0.750 0.750 Ge
0.411 0.250 0.750 Ge
0.411 0.750 0.250 Ge
0.089 0.250 0.750 Ge
0.089 0.750 0.250 Ge
0.911 0.250 0.250 Ge
0.911 0.750 0.750 Ge
0.163 0.000 0.000 Al
0.837 0.000 0.000 Al
0.163 0.500 0.500 Al
0.837 0.500 0.500 Al
0.663 0.000 0.500 Al
0.337 0.000 0.500 Al
0.663 0.500 0.000 Al
0.337 0.500 0.000 Al
0.250 0.250 0.250 W
0.250 0.750 0.750 W
0.750 0.250 0.750 W
0.750 0.750 0.250 W
0.000 0.000 0.500 W
0.000 0.500 0.000 W
0.500 0.000 0.000 W
0.500 0.500 0.500 W
```

Size of the total moment, μB per formula unit: 0.000
Calculated total energy, eV per atom: -7.174
Energy relative to the lowest polymorph listed for this composition, meV/atom: 13.7
V, Å³ per cell: 367.5
DFT formation energy, eV per atom: -0.070

Entry 7:
The following is a PBE calculation of a relaxed structure of La7Cu2Pd2, from Alexandria.

POSCAR file:
```
La7Cu2Pd2
1.0
-5.379 -4.068 -1.497
4.419 -4.430 -3.839
3.102 -1.974 5.849
La Cu Pd
7 2 2
direct
0.000 0.285 0.500 La
0.500 0.715 0.000 La
0.000 0.715 0.500 La
0.500 0.285 0.000 La
0.000 0.000 0.000 La
0.500 0.724 0.500 La
0.500 0.276 0.500 La
0.841 0.500 0.841 Cu
0.159 0.500 0.159 Cu
0.705 0.000 0.295 Pd
0.295 0.000 0.705 Pd
```

Size of the total moment, μB per formula unit: 0.000
Calculated total energy, eV per atom: -4.998
V, Å³ per cell: 326.2
DFT formation energy, eV per atom: -0.173

Entry 8:
The following is a PBE calculation of a relaxed structure of SrLi2HgF8, from Alexandria.

POSCAR file:
```
SrLi2HgF8
1.0
-3.046 -0.292 2.621
-2.219 -4.026 -2.975
2.646 -6.462 4.249
Sr Li Hg F
1 2 1 8
direct
0.000 0.000 0.500 Sr
0.453 0.415 0.666 Li
0.547 0.585 0.334 Li
0.000 0.000 0.000 Hg
0.065 0.683 0.302 F
0.563 0.824 0.122 F
0.984 0.218 0.176 F
0.935 0.317 0.698 F
0.437 0.176 0.878 F
0.016 0.782 0.824 F
0.497 0.737 0.539 F
0.503 0.263 0.461 F
```

Size of the total moment, μB per formula unit: 0.151
Calculated total energy, eV per atom: -4.040
V, Å³ per cell: 175.7
Formation energy (no corrections), meV/atom: -2308

Entry 9:
The following is a PBE calculation of a relaxed structure of Ce5HN4, from Alexandria.

POSCAR file:
```
Ce5HN4
1.0
3.546 0.000 0.000
1.773 3.071 0.000
1.773 1.024 14.786
Ce H N
5 1 4
direct
0.399 0.399 0.802 Ce
0.000 0.000 0.000 Ce
0.601 0.601 0.198 Ce
0.797 0.797 0.609 Ce
0.203 0.203 0.391 Ce
0.500 0.500 0.500 H
0.900 0.900 0.300 N
0.300 0.300 0.099 N
0.700 0.700 0.901 N
0.100 0.100 0.700 N
```

Size of the total moment, μB per formula unit: 1.039
Calculated total energy, eV per atom: -7.911
Energy relative to the lowest polymorph listed for this composition, meV/atom: 0.0
V, Å³ per cell: 161.0

Entry 10:
The following is a PBE calculation of a relaxed structure of Cs2LiCl4, from Alexandria.

POSCAR file:
```
Cs2LiCl4
1.0
-0.668 -4.668 1.967
4.988 -0.261 1.073
0.646 1.082 9.422
Cs Li Cl
2 1 4
direct
0.643 0.643 0.715 Cs
0.357 0.357 0.285 Cs
0.000 0.000 0.000 Li
0.846 0.846 0.308 Cl
0.154 0.154 0.692 Cl
0.000 0.500 0.000 Cl
0.500 0.000 0.000 Cl
```

Size of the total moment, μB per formula unit: 1.157
Calculated total energy, eV per atom: -3.109
V, Å³ per cell: 229.5
Formation energy (no corrections), meV/atom: -1536

Entry 11:
The following is a PBE calculation of a relaxed structure of LaTaTl, from Alexandria.

POSCAR file:
```
LaTaTl
1.0
-3.660 -4.515 2.708
1.461 -5.142 3.541
0.391 6.307 -1.090
La Ta Tl
1 1 1
direct
0.007 0.007 0.000 La
0.685 0.685 0.000 Ta
0.307 0.307 0.000 Tl
```

Size of the total moment, μB per formula unit: 0.000
Calculated total energy, eV per atom: -5.982
Energy relative to the lowest polymorph listed for this composition, meV/atom: 59.0
V, Å³ per cell: 78.2
DFT formation energy, eV per atom: 0.400

Entry 12:
The following is a PBE calculation of a relaxed structure of Er2CoRh, from Alexandria.

POSCAR file:
```
Er2CoRh
1.0
3.335 0.000 0.000
0.000 3.335 0.000
0.000 0.000 6.782
Co Rh Er
1 1 2
direct
0.500 0.500 0.000 Co
0.500 0.500 0.500 Rh
0.000 0.000 0.757 Er
0.000 0.000 0.243 Er
```

Size of the total moment, μB per formula unit: 0.454
Calculated total energy, eV per atom: -6.464
V, Å³ per cell: 75.4
DFT formation energy, eV per atom: -0.568

Entry 13:
The following is a PBE calculation of a relaxed structure of TmSnHg2, from Alexandria.

POSCAR file:
```
TmSnHg2
1.0
5.416 0.000 0.000
0.000 3.558 -0.149
0.000 0.155 5.347
Tm Sn Hg
1 1 2
direct
0.500 0.750 0.250 Tm
0.500 0.250 0.750 Sn
0.000 0.007 0.003 Hg
0.000 0.493 0.497 Hg
```

Size of the total moment, μB per formula unit: 0.000
Calculated total energy, eV per atom: -2.532
V, Å³ per cell: 103.2
DFT formation energy, eV per atom: -0.262